La2PmPr4Ho after structural relaxation. Source: Alexandria, functional PBE.

abc: 5.2214 5.2043 11.7117
angles: 63.49 90.00 90.00
Last column: nearest neighbours and their distance in Å.
Fractional coordinates of all 8 atoms:
La (0.0000, 0.0000, 0.0000)  4 Pm 3.69, 8 Pr 3.71
Ho (0.0000, 0.5000, 0.5000)  8 Pr 3.67-3.69, 4 La 3.69
Pr (0.0000, 0.2475, 0.2520)  2 Ho 3.67-3.68, 4 La 3.68-3.71, 4 Pr 3.68-3.69, 2 Pm 3.71
Pr (0.5000, 0.7490, 0.2512)  4 La 3.68-3.71, 4 Pr 3.68-3.69, 2 Ho 3.69, 2 Pm 3.70-3.71
La (0.5000, 0.0000, 0.5000)  8 Pr 3.68-3.69, 4 Ho 3.69
Pr (0.0000, 0.7525, 0.7480)  2 Ho 3.67-3.68, 4 La 3.68-3.71, 4 Pr 3.68-3.69, 2 Pm 3.71
Pm (0.5000, 0.5000, 0.0000)  4 La 3.69, 8 Pr 3.70-3.71
Pr (0.5000, 0.2510, 0.7488)  4 La 3.68-3.71, 4 Pr 3.68-3.69, 2 Ho 3.69, 2 Pm 3.70-3.71

## Properties
The calculation puts the energy relative to the elements at 0.018 eV per atom. The density of states at the Fermi level is 13.6 states/eV/cell. The raw total energy comes out at -38.157 eV/cell.

***

La2PmPr6Ho3 after structural relaxation. Source: Alexandria, functional PBE.

abc: 6.3722 6.3722 12.0990
angles: 95.03 95.03 120.04
Last column: nearest neighbours and their distance in Å.
Fractional coordinates of all 12 atoms:
Pr (0.2474, 0.2474, 0.7442)  3 Ho 3.60, 6 Pr 3.67-3.68, 1 Pm 3.71, 2 La 3.72
La (0.6666, 0.3334, 0.0000)  3 Pm 3.68, 3 La 3.68, 6 Pr 3.71-3.72
Pm (0.0000, 0.0000, 0.0000)  6 La 3.68, 6 Pr 3.71
Ho (0.1665, 0.8335, 0.5000)  6 Pr 3.60, 6 Ho 3.68
Pr (0.5815, 0.9144, 0.7442)  3 Ho 3.60, 6 Pr 3.67-3.68, 2 La 3.71-3.72, 1 Pm 3.71
Pr (0.4185, 0.0856, 0.2558)  3 Ho 3.60, 6 Pr 3.67-3.68, 2 La 3.71-3.72, 1 Pm 3.71
La (0.3334, 0.6666, 0.0000)  3 Pm 3.68, 3 La 3.68, 6 Pr 3.71-3.72
Ho (0.5000, 0.5000, 0.5000)  6 Pr 3.60, 6 Ho 3.68
Pr (0.9144, 0.5815, 0.7442)  3 Ho 3.60, 6 Pr 3.67-3.68, 2 La 3.71-3.72, 1 Pm 3.71
Pr (0.7526, 0.7526, 0.2558)  3 Ho 3.60, 6 Pr 3.67-3.68, 1 Pm 3.71, 2 La 3.72
Ho (0.8335, 0.1665, 0.5000)  6 Pr 3.60, 6 Ho 3.68
Pr (0.0856, 0.4185, 0.2558)  3 Ho 3.60, 6 Pr 3.67-3.68, 2 La 3.71-3.72, 1 Pm 3.71

## Properties
The calculation puts the energy relative to the elements at 0.018 eV per atom. The density of states at the Fermi level is 17.4 states/eV/cell. The raw total energy comes out at -56.801 eV/cell.

***

La2Pm3Pr6Ho after structural relaxation. Source: Alexandria, functional PBE.

abc: 6.3965 6.3965 12.2312
angles: 95.05 95.05 120.00
Last column: nearest neighbours and their distance in Å.
Fractional coordinates of all 12 atoms:
Pr (0.7516, 0.7516, 0.2514)  3 Pm 3.67-3.68, 6 Pr 3.68-3.70, 1 Ho 3.70, 2 La 3.70
Pr (0.4153, 0.0837, 0.2512)  3 Pm 3.67-3.68, 6 Pr 3.67-3.70, 1 Ho 3.69, 2 La 3.70-3.71
Pm (0.5000, 0.5000, 0.5000)  6 Pr 3.67-3.68, 6 Pm 3.69-3.70
La (0.6670, 0.3330, 0.0000)  3 Ho 3.69, 3 La 3.69-3.70, 6 Pr 3.70-3.71
Pm (0.1664, 0.8336, 0.5000)  6 Pr 3.67-3.68, 6 Pm 3.69-3.70
Pr (0.2484, 0.2484, 0.7486)  3 Pm 3.67-3.68, 6 Pr 3.68-3.70, 1 Ho 3.70, 2 La 3.70
Ho (0.0000, 0.0000, 0.0000)  6 La 3.69, 6 Pr 3.69-3.70
Pr (0.0837, 0.4153, 0.2512)  3 Pm 3.67-3.68, 6 Pr 3.67-3.70, 1 Ho 3.69, 2 La 3.70-3.71
La (0.3330, 0.6670, 0.0000)  3 Ho 3.69, 3 La 3.69-3.70, 6 Pr 3.70-3.71
Pr (0.5847, 0.9163, 0.7488)  3 Pm 3.67-3.68, 6 Pr 3.67-3.70, 1 Ho 3.69, 2 La 3.70-3.71
Pr (0.9163, 0.5847, 0.7488)  3 Pm 3.67-3.68, 6 Pr 3.67-3.70, 1 Ho 3.69, 2 La 3.70-3.71
Pm (0.8336, 0.1664, 0.5000)  6 Pr 3.67-3.68, 6 Pm 3.69-3.70

## Properties
The calculation puts the energy relative to the elements at 0.015 eV per atom. The density of states at the Fermi level is 19.6 states/eV/cell. The raw total energy comes out at -57.178 eV/cell.